1.
VASP calculation (PBE) on a relaxed structure of Y2Zn2GaRh5.

Output
DOS(E_F), states/eV/atom: 0.601
Raw total energy, eV per cell: -122.957

Cell: 3.562 9.687 9.687 Å, 90.00 90.00 90.00°
Fractional coordinates of all 20 atoms:
Ga (0.000, 0.000, 0.000)
Ga (0.000, 0.500, 0.500)
Y (0.000, 0.673, 0.173)
Y (0.000, 0.327, 0.827)
Y (0.000, 0.173, 0.327)
Y (0.000, 0.827, 0.673)
Rh (0.500, 0.065, 0.801)
Rh (0.500, 0.435, 0.301)
Rh (0.500, 0.500, 0.000)
Rh (0.500, 0.301, 0.565)
Rh (0.500, 0.199, 0.065)
Rh (0.500, 0.935, 0.199)
Rh (0.500, 0.565, 0.699)
Rh (0.500, 0.801, 0.935)
Rh (0.500, 0.000, 0.500)
Rh (0.500, 0.699, 0.435)
Zn (0.000, 0.373, 0.127)
Zn (0.000, 0.127, 0.627)
Zn (0.000, 0.873, 0.373)
Zn (0.000, 0.627, 0.873)

2.
VASP calculation (PBE) on a relaxed structure of ZrTiO2F.

Output
Uncorrected formation energy, eV/atom: -2.079
DOS(E_F), states/eV/atom: 0.726
Raw total energy, eV per cell: -38.623

Cell: 3.949 3.949 3.922 Å, 90.00 90.00 90.00°
Each line ends with the local moment (μB).
Fractional coordinates of all 5 atoms:
O (0.500, 0.000, 0.000)  -0.02
O (0.000, 0.500, 0.000)  -0.02
Zr (0.500, 0.500, 0.500)  1.18
F (0.000, 0.000, 0.500)  0.06
Ti (0.000, 0.000, 0.000)  0.51

3.
VASP calculation (PBE) on a relaxed structure of HgRuSe2.

Output
Uncorrected formation energy, eV/atom: -0.125
DOS(E_F), states/eV/atom: 0.651
Raw total energy, eV per cell: -17.048

Cell: 3.778 3.778 8.524 Å, 86.11 86.11 48.27°
Fractional coordinates of all 4 atoms:
Ru (0.250, 0.250, 0.250)
Se (0.534, 0.534, 0.418)
Se (0.966, 0.966, 0.082)
Hg (0.750, 0.750, 0.750)

4.
VASP calculation (PBE) on a relaxed structure of ZrAsSe.

Output
Uncorrected formation energy, eV/atom: -0.642
DOS(E_F), states/eV/atom: 0.557
Raw total energy, eV per cell: -18.608

Cell: 7.651 7.492 3.193 Å, 80.63 75.05 24.32°
Fractional coordinates of all 3 atoms:
Se (0.296, 0.296, 0.704)
Zr (0.669, 0.669, 0.331)
As (0.035, 0.035, 0.965)